A plane-wave DFT calculation with GGA-PBE was carried out for RbLa3Pd after structural relaxation.

Energy of formation ... 1.19 eV per atom
Density ... 5.77 g cm⁻³
Density of states at the Fermi level ... 0.92 states/eV per atom
Size of the total moment ... 0.000 μB per atom
Energy relative to the lowest polymorph listed for this composition ... 1.169 eV per atom
DFT total energy ... -3.003 eV per atom

a b c (Å): 5.5942 5.5942 5.5942
angles (deg): 90.00 90.00 90.00
With the nearest neighbours (Å) after each atom.
Space group Pm-3m (No. 221)
Inequivalent atoms, fractional coordinates:
Rb 0.0000 0.0000 0.0000 (multiplicity 1)  6 La 2.80
La 0.0000 0.0000 0.5000 (multiplicity 3)  2 Rb 2.80
Pd 0.5000 0.5000 0.5000 (multiplicity 1)  12 La 3.96